## Ba3PrNb2O9 (GGA-PBE)

Data for a relaxed structure of Ba3PrNb2O9.

Computed properties:
total DFT energy (no corrections)	-7.877	eV/atom
volume	239.64	Å³/f.u.
density of states at the Fermi level	0.257	states/eV per atom

a b c (Å): 6.0520 6.0520 7.5551
angles (deg): 90.00 90.00 120.00
Space group P-3m1 (No. 164)
One atom of each set of equivalent atoms:
Ba (0.0000, 0.0000, 0.0000) x1
Ba (0.3333, 0.6667, 0.6871) x2
Pr (0.0000, 0.0000, 0.5000) x1
Nb (0.3333, 0.6667, 0.1610) x2
O (0.0000, 0.5000, 0.0000) x3
O (0.1768, 0.3536, 0.3095) x6

## BaNbPt2O8 (GGA-PBE)

Data for a relaxed structure of BaNbPt2O8.

Computed properties:
total DFT energy (no corrections)	-6.288	eV/atom
volume	208.41	Å³/f.u.
density of states at the Fermi level	0.744	states/eV per atom

a b c (Å): 5.6738 5.6738 7.4755
angles (deg): 90.00 90.00 120.00
Space group P-3 (No. 147)
One atom of each set of equivalent atoms:
Ba (0.0000, 0.0000, 0.0000) x1
Nb (0.0000, 0.0000, 0.5000) x1
Pt (0.3333, 0.6667, 0.7113) x2
O (0.0396, 0.2939, 0.6687) x6
O (0.3333, 0.6667, 0.9625) x2

## BaNb2PtO (GGA-PBE)

Data for a relaxed structure of BaNb2PtO.

Computed properties:
total DFT energy (no corrections)	-3.742	eV/atom
volume	137.52	Å³/f.u.
density of states at the Fermi level	1.349	states/eV per atom

a b c (Å): 5.2047 5.2047 5.0767
angles (deg): 90.00 90.00 90.00
Space group P4/mmm (No. 123)
One atom of each set of equivalent atoms:
Ba (0.0000, 0.0000, 0.0000) x1
Nb (0.0000, 0.5000, 0.0000) x2
Pt (0.0000, 0.0000, 0.5000) x1
O (0.5000, 0.5000, 0.5000) x1

What is the formula in the second record?
BaNbPt2O8

What is the total DFT energy (no corrections) in the second record?
-6.288 eV/atom

What is the formula in the second record?
BaNbPt2O8

Which of these has the highest volume?
Ba3PrNb2O9